Below is a relaxed LaInSb2 crystal, with properties calculated at the GGA-PBE level.

abc: 3.554 3.554 9.598
angles: 90.00 90.00 90.00
Element x y z (fractional)
La (0.000, 0.000, 0.000)
In (0.000, 0.000, 0.500)
Sb (0.500, 0.500, 0.241)
Sb (0.500, 0.500, 0.759)

Values from the calculation:
size of the total moment = 0.07 μB/f.u.
space-group type = No. 123
raw formation energy = -0.375 eV per atom
total energy = -17.410 eV/cell

=====

Below is a relaxed SrScAu2 crystal, with properties calculated at the GGA-PBE level.

abc: 7.238 7.238 7.238
angles: 90.00 90.00 90.00
Element x y z (fractional)
Sr (0.000, 0.000, 0.000)
Sr (0.000, 0.500, 0.500)
Sr (0.500, 0.000, 0.500)
Sr (0.500, 0.500, 0.000)
Sc (0.000, 0.000, 0.500)
Sc (0.000, 0.500, 0.000)
Sc (0.500, 0.000, 0.000)
Sc (0.500, 0.500, 0.500)
Au (0.250, 0.250, 0.250)
Au (0.250, 0.250, 0.750)
Au (0.250, 0.750, 0.250)
Au (0.250, 0.750, 0.750)
Au (0.750, 0.250, 0.250)
Au (0.750, 0.250, 0.750)
Au (0.750, 0.750, 0.250)
Au (0.750, 0.750, 0.750)

Values from the calculation:
excess energy over the best structure of this formula in the dataset = 0.1494 eV per atom
size of the total moment = 0.00 μB/f.u.
space-group type = No. 225
E_form = -56.4 kJ per mole of atoms
total energy = -67.617 eV/cell

=====

Below is a relaxed ScMoW2 crystal, with properties calculated at the GGA-PBE level.

abc: 2.699 4.707 5.389
angles: 90.00 90.00 90.00
Element x y z (fractional)
Sc (0.000, 0.000, 0.000)
Mo (0.500, 0.500, 0.755)
W (0.000, 0.000, 0.498)
W (0.500, 0.500, 0.256)

Values from the calculation:
excess energy over the best structure of this formula in the dataset = 0.2630 eV per atom
size of the total moment = 0.00 μB/f.u.
space-group type = No. 25
E_form = 34.0 kJ per mole of atoms
total energy = -41.661 eV/cell

=====

Below is a relaxed TcPb3N crystal, with properties calculated at the GGA-PBE level.

abc: 5.294 5.294 5.294
angles: 90.00 90.00 90.00
Element x y z (fractional)
Tc (0.000, 0.000, 0.000)
Pb (0.000, 0.000, 0.500)
Pb (0.000, 0.500, 0.000)
Pb (0.500, 0.000, 0.000)
N (0.500, 0.500, 0.500)

Values from the calculation:
excess energy over the best structure of this formula in the dataset = 0.0813 eV per atom
size of the total moment = 2.00 μB/f.u.
space-group type = No. 221
raw formation energy = 1.198 eV per atom
total energy = -23.828 eV/cell